Record 1
VASP calculation (PBE) on a geometry-optimized LiLaNi2B structure.

abc: 4.125 4.125 4.250
angles: 90.00 90.00 90.00
Space group P4/mmm (No. 123)
Unique sites:
Li 0.000 0.000 0.000 [1 per cell]
La 0.500 0.500 0.000 [1 per cell]
Ni 0.000 0.500 0.500 [2 per cell]
B 0.000 0.000 0.500 [1 per cell]

- crystal system = tetragonal
- theoretical density (Mg/m³) = 6.3
- calculated total energy (eV/atom) = -5.167
- magnetic moment (μB per formula unit) = 0.00


Record 2
VASP calculation (PBE) on a geometry-optimized LiLa2NiB structure.

abc: 5.459 5.459 3.848
angles: 90.00 90.00 90.00
Space group P4/mmm (No. 123)
Unique sites:
Li 0.000 0.000 0.000 [1 per cell]
La 0.000 0.500 0.500 [2 per cell]
Ni 0.500 0.500 0.000 [1 per cell]
B 0.500 0.500 0.500 [1 per cell]

- crystal system = tetragonal
- theoretical density (Mg/m³) = 5.1
- calculated total energy (eV/atom) = -4.905
- magnetic moment (μB per formula unit) = 0.00


Record 3
VASP calculation (PBE) on a geometry-optimized LiLaBOs2 structure.

abc: 4.249 4.249 4.438
angles: 90.00 90.00 90.00
Space group P4/mmm (No. 123)
Unique sites:
Li 0.000 0.000 0.000 [1 per cell]
La 0.500 0.500 0.000 [1 per cell]
B 0.000 0.000 0.500 [1 per cell]
Os 0.000 0.500 0.500 [2 per cell]

- crystal system = tetragonal
- theoretical density (Mg/m³) = 11.1
- calculated total energy (eV/atom) = -7.233
- magnetic moment (μB per formula unit) = 0.00


Record 4
VASP calculation (PBE) on a geometry-optimized LiLaBP2 structure.

abc: 4.454 4.454 4.171
angles: 90.00 90.00 90.00
Space group P4/mmm (No. 123)
Unique sites:
Li 0.000 0.000 0.000 [1 per cell]
La 0.500 0.500 0.000 [1 per cell]
B 0.000 0.000 0.500 [1 per cell]
P 0.000 0.500 0.500 [2 per cell]

- crystal system = tetragonal
- theoretical density (Mg/m³) = 4.4
- calculated total energy (eV/atom) = -5.041
- magnetic moment (μB per formula unit) = 0.00


Record 5
VASP calculation (PBE) on a geometry-optimized LiLa2BPd6 structure.

abc: 5.8156 5.8156 19.0121
angles: 90.00 90.00 120.00
Space group R-3m (No. 166, hexagonal axes)
Unique sites:
Li 0.0000 0.0000 0.0000 [3 per cell]
La 0.0000 0.0000 0.2709 [6 per cell]
B 0.0000 0.0000 0.5000 [3 per cell]
Pd 0.0074 0.5037 0.7689 [18 per cell]

- crystal system = trigonal
- theoretical density (Mg/m³) = 8.4
- calculated total energy (eV/atom) = -5.602
- magnetic moment (μB per formula unit) = 0.00


Record 6
VASP calculation (PBE) on a geometry-optimized LiLaBPd6 structure.

abc: 5.815 9.181 11.348
angles: 90.00 90.00 90.00
Space group Imma (No. 74)
Unique sites:
Li 0.250 0.250 0.250 [4 per cell]
La 0.000 0.250 0.677 [4 per cell]
B 0.000 0.000 0.000 [4 per cell]
Pd 0.000 0.250 0.441 [4 per cell]
Pd 0.000 0.250 0.963 [4 per cell]
Pd 0.250 0.012 0.127 [16 per cell]

- crystal system = orthorhombic
- theoretical density (Mg/m³) = 8.7
- calculated total energy (eV/atom) = -5.336
- magnetic moment (μB per formula unit) = 0.00